[1]
Computed, not measured: MgPt3O4 after structural relaxation at the PBE level of DFT.

POSCAR file:
```
MgPt3O4
1.0
5.815 0.000 0.000
0.000 5.815 0.000
0.000 0.000 5.815
Mg Pt O
2 6 8
Cartesian
0.000 0.000 0.000
2.908 2.908 2.908
0.000 1.454 2.908
0.000 4.361 2.908
1.454 2.908 0.000
2.908 0.000 1.454
2.908 0.000 4.361
4.361 2.908 0.000
1.454 1.454 1.454
1.454 1.454 4.361
1.454 4.361 1.454
1.454 4.361 4.361
4.361 1.454 1.454
4.361 1.454 4.361
4.361 4.361 1.454
4.361 4.361 4.361
```

Results
Electronic total energy in eV per atom: -5.7095
Uncorrected formation energy in eV/atom: -0.766
SG: Pm-3n

---

[2]
Computed, not measured: TbPr5Sm4 after structural relaxation at the PBE level of DFT.

POSCAR file:
```
TbPr5Sm4
1.0
-5.309 5.309 3.141
5.309 -5.309 3.141
5.309 5.309 -3.141
Tb Pr Sm
1 5 4
Cartesian
0.000 0.000 0.000
0.000 0.000 2.908
7.315 3.294 1.502
3.294 3.304 1.502
2.015 2.006 4.643
-2.006 2.015 4.643
7.161 -0.005 1.311
3.457 0.005 1.311
-0.005 3.457 1.311
0.005 7.161 1.311
```

Results
Polymorph energy (0 for the lowest one) in eV per atom: 0.1675
Electronic total energy in eV per atom: -4.5031
Calculated formation energy in eV/f.u.: 2.4
SG: I4

---

[3]
Computed, not measured: Dy3Th5As8 after structural relaxation at the PBE level of DFT.

POSCAR file:
```
Dy3Th5As8
1.0
4.211 2.431 6.849
-4.211 2.431 6.849
0.000 -4.862 6.849
Dy Th As
3 5 8
Cartesian
-2.105 -1.216 6.849
-2.105 1.216 13.699
0.000 2.431 6.849
0.000 0.000 0.000
-4.211 0.000 10.274
-2.105 1.216 3.425
2.105 1.216 3.425
0.000 0.000 10.274
0.000 -2.403 8.523
-2.081 1.202 8.523
0.000 0.000 5.188
-2.081 -1.202 12.025
2.081 1.202 8.523
0.000 0.000 15.360
2.081 -1.202 12.025
0.000 2.403 12.025
```

Results
Electronic total energy in eV per atom: -6.9537
Calculated formation energy in eV/f.u.: -23.2
SG: R-3m

---

[4]
Computed, not measured: BiTePN2 after structural relaxation at the PBE level of DFT.

POSCAR file:
```
BiTePN2
1.0
4.218 0.000 0.000
0.000 4.218 0.000
0.000 0.000 6.952
Bi Te P N
1 1 1 2
Cartesian
0.000 0.000 0.000
0.000 0.000 3.476
2.109 2.109 3.476
0.000 2.109 0.000
2.109 0.000 0.000
```

Results
Polymorph energy (0 for the lowest one) in eV per atom: 0.4223
Electronic total energy in eV per atom: -4.0265
Uncorrected formation energy in eV/atom: 1.790
SG: P4/mmm

---

[5]
Computed, not measured: KYGe2Br8 after structural relaxation at the PBE level of DFT.

POSCAR file:
```
KYGe2Br8
1.0
6.667 0.000 0.000
0.558 7.255 0.000
0.145 0.606 9.227
K Y Ge Br
1 1 2 8
Cartesian
0.000 0.000 0.000
0.072 0.303 4.613
3.331 3.423 2.392
4.039 4.438 6.835
2.022 6.133 2.676
1.794 2.592 4.329
2.365 6.677 6.672
2.017 2.647 0.457
5.353 5.214 8.770
5.005 1.184 2.555
5.576 5.269 4.897
5.348 1.728 6.551
```

Results
Electronic total energy in eV per atom: -3.6804
Uncorrected formation energy in eV/atom: -1.165
SG: P-1

---

[6]
Computed, not measured: BaScIn after structural relaxation at the PBE level of DFT.

POSCAR file:
```
BaScIn
1.0
3.884 0.000 0.000
0.000 3.884 0.000
0.000 0.000 13.433
Ba Sc In
2 2 2
Cartesian
0.971 0.971 1.948
2.913 2.913 11.485
0.971 0.971 5.811
2.913 2.913 7.622
0.971 0.971 9.024
2.913 2.913 4.409
```

Results
Polymorph energy (0 for the lowest one) in eV per atom: 0.0461
Electronic total energy in eV per atom: -3.9256
Calculated formation energy in eV/f.u.: -0.8
SG: P4/nmm